Entry from Alexandria: a relaxed structure of Ca4Cu2Au5 (PBE).

The calculation puts the formation energy at -0.59 eV per atom. For the total energy, the calculation gives -3.551 eV/atom.

Unit cell a=4.105 b=7.239 c=8.402 alpha=91.23 beta=90.00 gamma=90.00
Fractional positions:
Ca (0.500, 0.219, 0.869)
Cu (0.000, 0.077, 0.626)
Ca (0.500, 0.747, 0.606)
Au (0.000, 0.434, 0.660)
Cu (0.000, 0.923, 0.374)
Au (0.000, 0.864, 0.866)
Ca (0.500, 0.781, 0.131)
Au (0.000, 0.566, 0.340)
Ca (0.500, 0.253, 0.394)
Au (0.000, 0.136, 0.134)
Au (0.000, 0.500, 0.000)